NpTl2MoO6 (PBE with a Hubbard U, relaxed); uncorrected energy = -72.60 eV/cell; calculated density = 9345 kg/m³; M_tot = 3.00 μB per formula unit
1.0
-2.972 2.972 4.213
2.972 -2.972 4.213
2.972 2.972 -4.213
Np Tl Mo O
1 2 1 6
direct
0.000 0.000 0.000
0.250 0.750 0.500
0.750 0.250 0.500
0.500 0.500 0.000
0.242 0.242 0.000
0.256 0.256 0.512
0.256 0.744 0.000
0.744 0.256 0.000
0.744 0.744 0.488
0.758 0.758 0.000